(1)
Computed, not measured: an optimized crystal structure of PrAg2GeS4 at the PBE level of DFT.

Results
uncorrected formation energy: -5.0 eV per formula unit
M_tot: 0.000 μB per formula unit
Fermi-level density of states: 3.00 states/eV/f.u.
calculated total energy: -4.58 eV per atom

Cell lengths 7.8692, 7.8692, 7.8692 Å; angles 123.09, 118.17, 88.97 degrees
Last column: nearest neighbours and their distance in Å.
Positions (direct):
Pr 0.0000 0.0000 0.0000  6 S 2.81-2.85
Pr 0.5000 0.0000 0.5000  6 S 2.81-2.85
Ag 0.0000 0.5000 0.5000  6 S 2.71-2.78
Ag 0.5000 0.0000 0.0000  6 S 2.86-2.96
Ag 0.5000 0.5000 0.0000  6 S 2.71-2.78
Ag 0.5000 0.5000 0.5000  6 S 2.86-2.96
Ge 0.0000 0.0000 0.5000  6 S 2.66
Ge 0.0000 0.5000 0.0000  6 S 2.66
S 0.2295 0.7469 0.4827  2 Ge 2.66, 3 Ag 2.78-2.86, 1 Pr 2.85
S 0.2358 0.2531 0.9827  2 Ge 2.66, 3 Ag 2.78-2.86, 1 Pr 2.85
S 0.2365 0.2468 0.5103  1 Ge 2.66, 3 Ag 2.71-2.96, 2 Pr 2.81
S 0.2365 0.7262 0.9897  1 Ge 2.66, 3 Ag 2.71-2.96, 2 Pr 2.81
S 0.7635 0.2738 0.0103  1 Ge 2.66, 3 Ag 2.71-2.96, 2 Pr 2.81
S 0.7635 0.7532 0.4897  1 Ge 2.66, 3 Ag 2.71-2.96, 2 Pr 2.81
S 0.7642 0.7469 0.0173  2 Ge 2.66, 3 Ag 2.78-2.86, 1 Pr 2.85
S 0.7705 0.2531 0.5173  2 Ge 2.66, 3 Ag 2.78-2.86, 1 Pr 2.85

***

(2)
Computed, not measured: an optimized crystal structure of EuCdHgPd at the PBE level of DFT.

Results
ΔE_f: -418.4 meV/atom
M_tot: 7.069 μB per formula unit
Fermi-level density of states: 9.18 states/eV/f.u.
calculated total energy: -4.59 eV per atom

Cell lengths 5.0830, 5.0830, 5.0830 Å; angles 60.00, 60.00, 60.00 degrees
Last column: nearest neighbours and their distance in Å.
Positions (direct):
Eu 0.0000 0.0000 0.0000  4 Hg 3.11, 4 Pd 3.11
Cd 0.5000 0.5000 0.5000  4 Hg 3.11, 4 Pd 3.11
Hg 0.7500 0.7500 0.7500  4 Cd 3.11, 4 Eu 3.11
Pd 0.2500 0.2500 0.2500  4 Cd 3.11, 4 Eu 3.11

***

(3)
Computed, not measured: an optimized crystal structure of CaSb2Pd4 at the PBE level of DFT.

Results
uncorrected formation energy: -4.3 eV per formula unit
M_tot: 0.000 μB per formula unit
Fermi-level density of states: 3.74 states/eV/f.u.
calculated total energy: -5.04 eV per atom

Cell lengths 16.9233, 4.5600, 7.3102 Å; angles 90.00, 90.00, 90.00 degrees
Last column: nearest neighbours and their distance in Å.
Positions (direct):
Ca 0.1442 0.2500 0.0457  8 Pd 3.00-3.22
Ca 0.3558 0.7500 0.5457  8 Pd 3.00-3.22
Ca 0.6442 0.2500 0.4543  8 Pd 3.00-3.22
Ca 0.8558 0.7500 0.9543  8 Pd 3.00-3.22
Sb 0.0289 0.7500 0.2558  7 Pd 2.67-2.76
Sb 0.2067 0.2500 0.5953  7 Pd 2.65-2.80
Sb 0.2933 0.7500 0.0953  7 Pd 2.65-2.80
Sb 0.4711 0.2500 0.7558  7 Pd 2.67-2.76
Sb 0.5289 0.7500 0.2442  7 Pd 2.67-2.76
Sb 0.7067 0.2500 0.9047  7 Pd 2.65-2.80
Sb 0.7933 0.7500 0.4047  7 Pd 2.65-2.80
Sb 0.9711 0.2500 0.7442  7 Pd 2.67-2.76
Pd 0.0312 0.7500 0.8905  3 Sb 2.67-2.72, 3 Pd 2.93-2.98
Pd 0.0640 0.2500 0.4448  4 Sb 2.65-2.73, 1 Pd 2.93
Pd 0.1829 0.7500 0.3797  4 Sb 2.76-2.80, 5 Pd 3.00-3.08
Pd 0.2085 0.7500 0.7901  3 Sb 2.65-2.69
Pd 0.2915 0.2500 0.2901  3 Sb 2.65-2.69
Pd 0.3171 0.2500 0.8797  4 Sb 2.76-2.80, 5 Pd 3.00-3.08
Pd 0.4360 0.7500 0.9448  4 Sb 2.65-2.73, 1 Pd 2.93
Pd 0.4688 0.2500 0.3905  3 Sb 2.67-2.72, 3 Pd 2.93-2.98
Pd 0.5312 0.7500 0.6095  3 Sb 2.67-2.72, 3 Pd 2.93-2.98
Pd 0.5640 0.2500 0.0552  4 Sb 2.65-2.73, 1 Pd 2.93
Pd 0.6829 0.7500 0.1203  4 Sb 2.76-2.80, 5 Pd 3.00-3.08
Pd 0.7085 0.7500 0.7099  3 Sb 2.65-2.69
Pd 0.7915 0.2500 0.2099  3 Sb 2.65-2.69
Pd 0.8171 0.2500 0.6203  4 Sb 2.76-2.80, 5 Pd 3.00-3.08
Pd 0.9360 0.7500 0.5552  4 Sb 2.65-2.73, 1 Pd 2.93
Pd 0.9688 0.2500 0.1095  3 Sb 2.67-2.72, 3 Pd 2.93-2.98

***

(4)
Computed, not measured: an optimized crystal structure of LaTbBrN at the PBE level of DFT.

Results
uncorrected formation energy: -5.8 eV per formula unit
M_tot: 0.000 μB per formula unit
Fermi-level density of states: 0.66 states/eV/f.u.
calculated total energy: -6.34 eV per atom

Cell lengths 3.6750, 3.6750, 7.7769 Å; angles 103.68, 103.68, 60.19 degrees
Last column: nearest neighbours and their distance in Å.
Positions (direct):
La 0.0000 0.0000 0.0000  3 N 2.66-2.67
Tb 0.7859 0.7859 0.3579  3 N 2.37-2.38
Br 0.2185 0.2185 0.6549  3 Tb 3.07-3.08, 3 La 3.34
N 0.4050 0.4050 0.2159  3 Tb 2.37-2.38

***

(5)
Computed, not measured: an optimized crystal structure of SrLaTc3 at the PBE level of DFT.

Results
ΔE_f: 2131.6 meV/atom
M_tot: 2.874 μB per formula unit
Fermi-level density of states: 7.35 states/eV/f.u.
calculated total energy: -5.41 eV per atom

Cell lengths 4.9412, 4.9412, 4.9412 Å; angles 90.00, 90.00, 90.00 degrees
Last column: nearest neighbours and their distance in Å.
Positions (direct):
Sr 0.0000 0.0000 0.0000  6 Tc 2.47
La 0.5000 0.5000 0.5000  12 Tc 3.49
Tc 0.0000 0.0000 0.5000  2 Sr 2.47
Tc 0.0000 0.5000 0.0000  2 Sr 2.47
Tc 0.5000 0.0000 0.0000  2 Sr 2.47

***

(6)
Computed, not measured: an optimized crystal structure of Ce5MgHg3 at the PBE level of DFT.

Results
ΔE_f: -164.8 meV/atom
M_tot: 5.802 μB per formula unit
Fermi-level density of states: 24.83 states/eV/f.u.
calculated total energy: -3.74 eV per atom

Cell lengths 9.2736, 9.2736, 6.5625 Å; angles 90.00, 90.00, 120.00 degrees
Last column: nearest neighbours and their distance in Å.
Positions (direct):
Ce 0.0000 0.3399 0.2500  5 Hg 3.07-3.29
Ce 0.0000 0.6601 0.7500  5 Hg 3.07-3.29
Ce 0.3333 0.6667 0.0000  8 Ce 3.28-3.47, 6 Hg 3.55
Ce 0.3333 0.6667 0.5000  8 Ce 3.28-3.47, 6 Hg 3.55
Ce 0.3399 0.0000 0.2500  5 Hg 3.07-3.29
Ce 0.3399 0.3399 0.7500  5 Hg 3.07-3.29
Ce 0.6601 0.0000 0.7500  5 Hg 3.07-3.29
Ce 0.6601 0.6601 0.2500  5 Hg 3.07-3.29
Ce 0.6667 0.3333 0.0000  8 Ce 3.28-3.47, 6 Hg 3.55
Ce 0.6667 0.3333 0.5000  8 Ce 3.28-3.47, 6 Hg 3.55
Mg 0.0000 0.0000 0.0000  2 Mg 3.28, 6 Hg 3.40, 6 Ce 3.55
Mg 0.0000 0.0000 0.5000  2 Mg 3.28, 6 Hg 3.40, 6 Ce 3.55
Hg 0.0000 0.3207 0.7500  5 Ce 3.07-3.29, 2 Mg 3.40
Hg 0.0000 0.6793 0.2500  5 Ce 3.07-3.29, 2 Mg 3.40
Hg 0.3207 0.0000 0.7500  5 Ce 3.07-3.29, 2 Mg 3.40
Hg 0.3207 0.3207 0.2500  5 Ce 3.07-3.29, 2 Mg 3.40
Hg 0.6793 0.0000 0.2500  5 Ce 3.07-3.29, 2 Mg 3.40
Hg 0.6793 0.6793 0.7500  5 Ce 3.07-3.29, 2 Mg 3.40

***

(7)
Computed, not measured: an optimized crystal structure of Rb2PaTc3O12 at the PBE level of DFT.

Results
uncorrected formation energy: -33.8 eV per formula unit
M_tot: 2.622 μB per formula unit
Fermi-level density of states: 7.04 states/eV/f.u.
calculated total energy: -7.54 eV per atom

Cell lengths 7.6039, 7.6039, 7.6039 Å; angles 57.62, 57.62, 57.62 degrees
Last column: nearest neighbours and their distance in Å.
Positions (direct):
Rb 0.1243 0.1243 0.1243  6 O 3.18-3.42
Rb 0.8757 0.8757 0.8757  6 O 3.18-3.42
Pa 0.5000 0.5000 0.5000  6 O 2.17
Tc 0.0000 0.5000 0.5000  6 O 1.91-1.95
Tc 0.5000 0.0000 0.5000  6 O 1.91-1.95
Tc 0.5000 0.5000 0.0000  6 O 1.91-1.95
O 0.1529 0.5760 0.5760  1 Tc 1.95, 1 Pa 2.17
O 0.1990 0.1990 0.5694  2 Tc 1.91
O 0.1990 0.5694 0.1990  2 Tc 1.91
O 0.4240 0.4240 0.8471  1 Tc 1.95, 1 Pa 2.17
O 0.4240 0.8471 0.4240  1 Tc 1.95, 1 Pa 2.17
O 0.4306 0.8010 0.8010  2 Tc 1.91
O 0.5694 0.1990 0.1990  2 Tc 1.91
O 0.5760 0.1529 0.5760  1 Tc 1.95, 1 Pa 2.17
O 0.5760 0.5760 0.1529  1 Tc 1.95, 1 Pa 2.17
O 0.8010 0.4306 0.8010  2 Tc 1.91
O 0.8010 0.8010 0.4306  2 Tc 1.91
O 0.8471 0.4240 0.4240  1 Tc 1.95, 1 Pa 2.17

***

(8)
Computed, not measured: an optimized crystal structure of CuReGe2 at the PBE level of DFT.

Results
ΔE_f: 226.9 meV/atom
M_tot: 0.000 μB per formula unit
Fermi-level density of states: 1.71 states/eV/f.u.
calculated total energy: -6.22 eV per atom

Cell lengths 8.7590, 8.7590, 8.7590 Å; angles 19.71, 19.71, 19.71 degrees
Last column: nearest neighbours and their distance in Å.
Positions (direct):
Cu 0.0000 0.0000 0.0000  2 Ge 2.36
Re 0.5000 0.5000 0.5000  6 Ge 2.59
Ge 0.0916 0.0916 0.0916  1 Cu 2.36, 3 Re 2.59
Ge 0.9084 0.9084 0.9084  1 Cu 2.36, 3 Re 2.59

***

(9)
Computed, not measured: an optimized crystal structure of DyTm2HgC at the PBE level of DFT.

Results
ΔE_f: -404.3 meV/atom
M_tot: 0.000 μB per formula unit
Fermi-level density of states: 7.31 states/eV/f.u.
calculated total energy: -5.02 eV per atom

Cell lengths 4.8017, 4.8017, 4.9372 Å; angles 90.00, 90.00, 90.00 degrees
Last column: nearest neighbours and their distance in Å.
Positions (direct):
Dy 0.0000 0.0000 0.0000  2 C 2.47
Tm 0.0000 0.5000 0.5000  2 C 2.40
Tm 0.5000 0.0000 0.5000  2 C 2.40
Hg 0.5000 0.5000 0.0000  4 Dy 3.40, 8 Tm 3.44
C 0.0000 0.0000 0.5000  4 Tm 2.40, 2 Dy 2.47

***

(10)
Computed, not measured: an optimized crystal structure of LiPRh at the PBE level of DFT.

Results
ΔE_f: -601.2 meV/atom
M_tot: 0.000 μB per formula unit
Fermi-level density of states: 1.33 states/eV/f.u.
calculated total energy: -5.49 eV per atom

Cell lengths 3.9860, 3.9860, 2.9579 Å; angles 90.00, 90.00, 120.00 degrees
Last column: nearest neighbours and their distance in Å.
Positions (direct):
Li 0.0000 0.0000 0.0000  6 P 2.74, 6 Rh 2.74, 2 Li 2.96
P 0.6667 0.3333 0.5000  3 Rh 2.30
Rh 0.3333 0.6667 0.5000  3 P 2.30

***

(11)
Computed, not measured: an optimized crystal structure of YTiTc4 at the PBE level of DFT.

Results
ΔE_f: -99.9 meV/atom
M_tot: 0.000 μB per formula unit
Fermi-level density of states: 10.40 states/eV/f.u.
calculated total energy: -9.40 eV per atom

Cell lengths 5.2778, 5.2778, 5.2778 Å; angles 60.00, 60.00, 60.00 degrees
Last column: nearest neighbours and their distance in Å.
Positions (direct):
Y 0.0000 0.0000 0.0000  12 Tc 3.10, 4 Ti 3.23
Ti 0.7500 0.7500 0.7500  12 Tc 3.09, 4 Y 3.23
Tc 0.3756 0.3756 0.3756  6 Tc 2.63-2.65
Tc 0.3756 0.3756 0.8733  6 Tc 2.63-2.65
Tc 0.3756 0.8733 0.3756  6 Tc 2.63-2.65
Tc 0.8733 0.3756 0.3756  6 Tc 2.63-2.65

***

(12)
Computed, not measured: an optimized crystal structure of Pr3Er2ThSe6 at the PBE level of DFT.

Results
uncorrected formation energy: -20.9 eV per formula unit
M_tot: 0.000 μB per formula unit
Fermi-level density of states: 6.56 states/eV/f.u.
calculated total energy: -6.06 eV per atom

Cell lengths 9.3406, 9.3406, 8.4537 Å; angles 102.70, 102.70, 25.61 degrees
Last column: nearest neighbours and their distance in Å.
Positions (direct):
Pr 0.0000 0.0000 0.0000  6 Se 2.96-3.05
Pr 0.3395 0.3395 0.6663  6 Se 2.98-3.07
Pr 0.6605 0.6605 0.3337  6 Se 2.98-3.07
Er 0.3342 0.3342 0.1687  6 Se 2.81-2.89
Er 0.6658 0.6658 0.8313  6 Se 2.81-2.89
Th 0.0000 0.0000 0.5000  6 Se 2.96-3.01
Se 0.1692 0.1692 0.5999  2 Er 2.86, 1 Th 3.01, 3 Pr 3.02-3.04
Se 0.1721 0.1721 0.0725  3 Er 2.88-2.89, 3 Pr 3.05-3.07
Se 0.4925 0.4925 0.2467  1 Er 2.81, 2 Th 2.96, 3 Pr 2.96-2.98
Se 0.5075 0.5075 0.7533  1 Er 2.81, 2 Th 2.96, 3 Pr 2.96-2.98
Se 0.8279 0.8279 0.9275  3 Er 2.88-2.89, 3 Pr 3.05-3.07
Se 0.8308 0.8308 0.4001  2 Er 2.86, 1 Th 3.01, 3 Pr 3.02-3.04

***

> Which formula does entry 1 have?

PrAg2GeS4

***

> What is the formula in the twelfth record?

Pr3Er2ThSe6

***

> Look up the M_tot of the first one.

0.000 μB per formula unit